# 1
A relaxed structure of SbPt2Rh. Source: Alexandria via LeMat-Bulk, functional PBE.

POSCAR file:
```
SbPt2Rh
1.0
3.9756 0.0000 0.0000
0.0000 3.9756 0.0000
0.0000 0.0000 4.1673
Sb Pt Rh
1 2 1
Direct
0.0000 0.0000 0.0000
0.0000 0.5000 0.5000
0.5000 0.0000 0.5000
0.5000 0.5000 0.0000
```


# 2
A relaxed structure of SbPt2Rh. Source: Alexandria via LeMat-Bulk, functional PBE.

POSCAR file:
```
SbPt2Rh
1.0
1.5278 0.8821 8.4877
-1.5278 0.8821 8.4877
0.0000 -1.7641 8.4877
Sb Pt Rh
1 2 1
Direct
0.0000 0.0000 0.0000
0.2507 0.2507 0.2507
0.4970 0.4970 0.4970
0.7444 0.7444 0.7444
```


# 3
A relaxed structure of Sb8Pt2Rh. Source: Alexandria via LeMat-Bulk, functional PBE.

POSCAR file:
```
Sb8Pt2Rh
1.0
7.3621 -4.2482 0.0000
7.3621 4.2482 0.0000
-1.0139 0.0000 4.8513
Sb Pt Rh
8 2 1
Direct
0.1334 0.6995 0.7770
0.1600 0.1600 0.8589
0.3005 0.8666 0.2230
0.4016 0.4016 0.3588
0.5984 0.5984 0.6412
0.6995 0.1334 0.7770
0.8400 0.8400 0.1411
0.8666 0.3005 0.2230
0.3322 0.3322 0.8162
0.6678 0.6678 0.1838
0.0000 0.0000 0.5000
```


# 4
A relaxed structure of SbPtRh2. Source: Alexandria via LeMat-Bulk, functional PBE.

POSCAR file:
```
SbPtRh2
1.0
0.0000 3.1911 3.1911
3.1911 0.0000 3.1911
3.1911 3.1911 0.0000
Sb Pt Rh
1 1 2
Direct
0.0000 0.0000 0.0000
0.2500 0.2500 0.2500
0.5000 0.5000 0.5000
0.7500 0.7500 0.7500
```


# 5
A relaxed structure of SbPt6Rh. Source: Alexandria via LeMat-Bulk, functional PBE.

POSCAR file:
```
SbPt6Rh
1.0
4.0079 0.0000 0.0000
0.0000 4.0079 0.0000
0.0000 0.0000 8.0367
Sb Pt Rh
1 6 1
Direct
0.0000 0.0000 0.0000
0.0000 0.5000 0.2563
0.0000 0.5000 0.7437
0.5000 0.0000 0.2563
0.5000 0.0000 0.7437
0.5000 0.5000 0.0000
0.5000 0.5000 0.5000
0.0000 0.0000 0.5000
```


# 6
Sb2PtRh PBE optimized geometry; distance to the lowest polymorph of the same formula = 83 meV/atom
1.0
3.6983 0.0000 0.0000
0.0000 4.9853 0.0000
-1.6982 0.0000 4.6120
Sb Pt Rh
2 1 1
Direct
0.0000 0.0000 0.0000
0.4669 0.5000 0.5426
0.7728 0.5000 0.1288
0.6815 0.0000 0.4085


# 7
A relaxed structure of SbPtRh2. Source: Alexandria via LeMat-Bulk, functional PBE.

POSCAR file:
```
SbPtRh2
1.0
-2.0119 2.1314 3.7499
2.0119 -2.1314 3.7499
2.0119 2.1314 -3.7499
Sb Pt Rh
1 1 2
Direct
0.0000 0.0000 0.0000
0.5000 0.5000 0.0000
0.2383 0.7383 0.5000
0.7617 0.2617 0.5000
```


# 8
A relaxed structure of SbPt2Rh. Source: Alexandria via LeMat-Bulk, functional PBE.

POSCAR file:
```
SbPt2Rh
1.0
2.7223 -4.9095 0.0000
2.7223 4.9095 0.0000
-1.7339 0.0000 2.5524
Sb Pt Rh
1 2 1
Direct
0.0000 0.0000 0.0000
0.0000 0.5000 0.0000
0.5000 0.0000 0.0000
0.5000 0.5000 0.0000
```


# 9
A relaxed structure of SbPtRh2. Source: Alexandria via LeMat-Bulk, functional PBE.

POSCAR file:
```
SbPtRh2
1.0
-2.6233 2.6233 6.7454
2.6233 -2.6233 6.7454
2.6233 2.6233 -6.7454
Sb Pt Rh
2 2 4
Direct
0.0000 0.0000 0.0000
0.7500 0.2500 0.5000
0.2500 0.7500 0.5000
0.5000 0.5000 0.0000
0.1381 0.6250 0.0131
0.3750 0.3881 0.5131
0.6119 0.1250 0.9869
0.8750 0.8619 0.4869
```


# 10
Sb4PtRh PBE optimized geometry; distance to the lowest polymorph of the same formula = 1283 meV/atom
1.0
0.0000 4.1995 4.1995
4.1995 0.0000 4.1995
4.1995 4.1995 0.0000
Sb Pt Rh
4 1 1
Direct
0.1249 0.1249 0.1249
0.1249 0.1249 0.6252
0.1249 0.6252 0.1249
0.6252 0.1249 0.1249
0.7500 0.7500 0.7500
0.5000 0.5000 0.5000


# 11
Sb2PtRh PBE optimized geometry; distance to the lowest polymorph of the same formula = 0 meV/atom
1.0
3.9498 0.0000 0.0000
0.0000 1.8429 5.3497
0.0000 -1.8429 5.3497
Sb Pt Rh
2 1 1
Direct
0.0000 0.0000 0.0000
0.5000 0.2944 0.2944
0.0000 0.7403 0.7403
0.5000 0.5481 0.5481


# 12
A relaxed structure of SbPt2Rh. Source: Alexandria via LeMat-Bulk, functional PBE.

POSCAR file:
```
SbPt2Rh
1.0
4.7557 -1.8566 0.0000
4.7557 1.8566 0.0000
-1.8577 0.0000 3.7863
Sb Pt Rh
1 2 1
Direct
0.0000 0.0000 0.0000
0.2694 0.2694 0.7694
0.7306 0.7306 0.2306
0.5000 0.5000 0.5000
```


# 13
Sb2PtRh PBE optimized geometry; distance to the lowest polymorph of the same formula = 241 meV/atom
1.0
-3.1468 3.1468 5.2220
3.1468 -3.1468 5.2220
3.1468 3.1468 -5.2220
Sb Pt Rh
4 2 2
Direct
0.1181 0.6250 0.9931
0.3750 0.3681 0.4931
0.6319 0.1250 0.0069
0.8750 0.8819 0.5069
0.2500 0.7500 0.5000
0.5000 0.5000 0.0000
0.0000 0.0000 0.0000
0.7500 0.2500 0.5000


# 14
A relaxed structure of SbPtRh2. Source: Alexandria via LeMat-Bulk, functional PBE.

POSCAR file:
```
SbPtRh2
1.0
3.0102 0.0000 0.0000
0.0000 3.8152 0.0000
-0.6158 0.0000 5.6701
Sb Pt Rh
1 1 2
Direct
0.0000 0.0000 0.0000
0.0000 0.0000 0.5000
0.4495 0.5000 0.2513
0.5505 0.5000 0.7487
```


# 15
A relaxed structure of SbPtRh. Source: Alexandria via LeMat-Bulk, functional PBE.

POSCAR file:
```
SbPtRh
1.0
0.0000 3.0821 3.0821
3.0821 0.0000 3.0821
3.0821 3.0821 0.0000
Sb Pt Rh
1 1 1
Direct
0.0000 0.0000 0.0000
0.5000 0.5000 0.5000
0.2500 0.2500 0.2500
```


# 16
A relaxed structure of SbPtRh. Source: Alexandria via LeMat-Bulk, functional PBE.

POSCAR file:
```
SbPtRh
1.0
0.0000 3.0606 3.0606
3.0606 0.0000 3.0606
3.0606 3.0606 0.0000
Sb Pt Rh
1 1 1
Direct
0.0000 0.0000 0.0000
0.7500 0.7500 0.7500
0.2500 0.2500 0.2500
```


# 17
A relaxed structure of SbPt3Rh4. Source: Alexandria via LeMat-Bulk, functional PBE.

POSCAR file:
```
SbPt3Rh4
1.0
-1.4204 4.2185 5.4028
1.4204 -4.2185 5.4028
1.4204 4.2185 -5.4028
Sb Pt Rh
1 3 4
Direct
0.0000 0.0000 0.0000
0.2114 0.7114 0.5000
0.5000 0.5000 0.0000
0.7886 0.2886 0.5000
0.1420 0.8716 0.2703
0.3987 0.1284 0.2703
0.6013 0.8716 0.7297
0.8580 0.1284 0.7297
```


# 18
Sb2PtRh PBE optimized geometry; distance to the lowest polymorph of the same formula = 227 meV/atom
1.0
3.3754 0.0000 0.0000
0.0000 3.3754 0.0000
0.0000 0.0000 6.7116
Sb Pt Rh
2 1 1
Direct
0.0000 0.0000 0.2433
0.0000 0.0000 0.7567
0.5000 0.5000 0.5000
0.5000 0.5000 0.0000


# 19
A relaxed structure of SbPt2Rh. Source: Alexandria via LeMat-Bulk, functional PBE.

POSCAR file:
```
SbPt2Rh
1.0
3.0290 0.0000 0.0000
0.0000 3.9915 0.0000
-1.5031 0.0000 5.6431
Sb Pt Rh
1 2 1
Direct
0.0000 0.0000 0.0000
0.1559 0.5000 0.3058
0.7686 0.0000 0.5331
0.4079 0.5000 0.8138
```


# 20
A relaxed structure of SbPt2Rh. Source: Alexandria via LeMat-Bulk, functional PBE.

POSCAR file:
```
SbPt2Rh
1.0
4.4541 -1.9478 0.0000
4.4541 1.9478 0.0000
-2.0707 0.0000 3.8391
Sb Pt Rh
1 2 1
Direct
0.0000 0.0000 0.0000
0.2630 0.2630 0.7581
0.4990 0.4990 0.4957
0.7302 0.7302 0.2248
```


Values of M_tot, in order: 0.0; 0.0; 0.0; 0.0; 0.9; 0.0; 0.0; 0.0; 0.0; 0.0; 0.0; 0.4; 0.0; 0.0; 0.0; 0.0; 0.0; 0.0; 0.0; 0.0, all in μB/f.u..
Values of raw total energy, in order: -24.48; -23.25; -53.14; -25.15; -48.24; -22.70; -25.71; -24.14; -45.96; -24.72; -23.03; -24.04; -44.13; -25.25; -17.96; -18.35; -50.69; -22.12; -24.04; -24.21, all in eV for the cell shown.